No. 1
VASP calculation (PBE-GGA) on GaCoRe after structural relaxation.

Cell: 5.7818 5.7818 5.7818 Å, 152.98 152.98 38.58°
Sites, in units of the cell vectors:
Ga1 0.0000 0.0000 0.0000
Co1 0.6597 0.6597 0.0000
Re1 0.3120 0.3120 0.0000

Summary:
Symmetry: I4mm (107)
Mass density (Mg/m³): 13.13
E above lowest polymorph (eV per atom): 0.079
DOS at the Fermi energy (states/eV/cell): 2.53
Uncorrected energy (eV/atom): -7.5494

No. 2
VASP calculation (PBE-GGA) on Ga3CoRe after structural relaxation.

Cell: 4.4405 4.4405 4.4405 Å, 90.00 90.00 90.00°
Sites, in units of the cell vectors:
Ga1 0.0000 0.0000 0.5000
Ga2 0.0000 0.5000 0.0000
Ga3 0.5000 0.0000 0.0000
Co1 0.0000 0.0000 0.0000
Re1 0.5000 0.5000 0.5000

Summary:
Symmetry: Pm-3m (221)
Mass density (Mg/m³): 8.62
E above lowest polymorph (eV per atom): 0.000
DOS at the Fermi energy (states/eV/cell): 5.33
Uncorrected energy (eV/atom): -4.9037

No. 3
VASP calculation (PBE-GGA) on Ga2CoRe after structural relaxation.

Cell: 4.2460 4.2460 4.2460 Å, 60.00 60.00 60.00°
Sites, in units of the cell vectors:
Ga1 0.2500 0.2500 0.2500
Ga2 0.7500 0.7500 0.7500
Co1 0.0000 0.0000 0.0000
Re1 0.5000 0.5000 0.5000

Summary:
Symmetry: Fm-3m (225)
Mass density (Mg/m³): 11.80
E above lowest polymorph (eV per atom): 0.000
DOS at the Fermi energy (states/eV/cell): 5.24
Uncorrected energy (eV/atom): -6.2920

No. 4
VASP calculation (PBE-GGA) on GaCoRe after structural relaxation.

Cell: 11.5851 11.5851 11.5851 Å, 166.65 166.65 18.93°
Sites, in units of the cell vectors:
Ga1 0.0552 0.0552 0.0000
Ga2 0.9448 0.9448 0.0000
Co1 0.3711 0.3711 0.0000
Co2 0.6289 0.6289 0.0000
Re1 0.2029 0.2029 0.0000
Re2 0.7971 0.7971 0.0000

Summary:
Symmetry: I4/mmm (139)
Mass density (Mg/m³): 12.61
E above lowest polymorph (eV per atom): 0.000
DOS at the Fermi energy (states/eV/cell): 5.06
Uncorrected energy (eV/atom): -7.6287

No. 5
VASP calculation (PBE-GGA) on GaCoReRu after structural relaxation.

Cell: 4.2627 4.2627 4.2627 Å, 60.00 60.00 60.00°
Sites, in units of the cell vectors:
Ga1 0.0000 0.0000 0.0000
Co1 0.2500 0.2500 0.2500
Re1 0.5000 0.5000 0.5000
Ru1 0.7500 0.7500 0.7500

Summary:
Symmetry: F-43m (216)
Mass density (Mg/m³): 12.61
DOS at the Fermi energy (states/eV/cell): 1.90
Uncorrected energy (eV/atom): -7.8955

No. 6
VASP calculation (PBE-GGA) on TaGaCoRe after structural relaxation.

Cell: 4.3491 4.3491 4.3491 Å, 60.00 60.00 60.00°
Sites, in units of the cell vectors:
Ta1 0.0000 0.0000 0.0000
Ga1 0.5000 0.5000 0.5000
Co1 0.2500 0.2500 0.2500
Re1 0.7500 0.7500 0.7500

Summary:
Symmetry: F-43m (216)
Mass density (Mg/m³): 14.15
DOS at the Fermi energy (states/eV/cell): 0.44
Uncorrected energy (eV/atom): -8.7743

No. 7
VASP calculation (PBE-GGA) on GaCoReTc2 after structural relaxation.

Cell: 4.3942 4.3942 4.4191 Å, 90.00 90.00 90.00°
Sites, in units of the cell vectors:
Ga1 0.0000 0.0000 0.0000
Co1 0.5000 0.5000 0.5000
Re1 0.5000 0.5000 0.0000
Tc1 0.0000 0.5000 0.5000
Tc2 0.5000 0.0000 0.5000

Summary:
Symmetry: P4/mmm (123)
Mass density (Mg/m³): 9.94
DOS at the Fermi energy (states/eV/cell): 5.63
Uncorrected energy (eV/atom): -7.2943

No. 8
VASP calculation (PBE-GGA) on GaCoReTc after structural relaxation.

Cell: 4.2725 4.2725 4.2725 Å, 60.00 60.00 60.00°
Sites, in units of the cell vectors:
Ga1 0.0000 0.0000 0.0000
Co1 0.2500 0.2500 0.2500
Re1 0.5000 0.5000 0.5000
Tc1 0.7500 0.7500 0.7500

Summary:
Symmetry: F-43m (216)
Mass density (Mg/m³): 12.43
DOS at the Fermi energy (states/eV/cell): 2.38
Uncorrected energy (eV/atom): -8.2089

No. 9
VASP calculation (PBE-GGA) on TiGaCoRe after structural relaxation.

Cell: 4.2784 4.2784 4.2784 Å, 60.00 60.00 60.00°
Sites, in units of the cell vectors:
Ti1 0.0000 0.0000 0.0000
Ga1 0.5000 0.5000 0.5000
Co1 0.7500 0.7500 0.7500
Re1 0.2500 0.2500 0.2500

Summary:
Symmetry: F-43m (216)
Mass density (Mg/m³): 10.88
DOS at the Fermi energy (states/eV/cell): 4.78
Uncorrected energy (eV/atom): -7.8171

No. 10
VASP calculation (PBE-GGA) on VGaCoRe after structural relaxation.

Cell: 4.2111 4.2111 4.2111 Å, 60.00 60.00 60.00°
Sites, in units of the cell vectors:
V1 0.0000 0.0000 0.0000
Ga1 0.5000 0.5000 0.5000
Co1 0.7500 0.7500 0.7500
Re1 0.2500 0.2500 0.2500

Summary:
Symmetry: F-43m (216)
Mass density (Mg/m³): 11.50
DOS at the Fermi energy (states/eV/cell): 0.81
Uncorrected energy (eV/atom): -8.0720

No. 11
VASP calculation (PBE-GGA) on VGa2CoRe after structural relaxation.

Cell: 4.6683 4.6683 4.4524 Å, 90.00 90.00 90.00°
Sites, in units of the cell vectors:
V1 0.0000 0.0000 0.0000
Ga1 0.0000 0.5000 0.0000
Ga2 0.5000 0.0000 0.0000
Co1 0.5000 0.5000 0.5000
Re1 0.0000 0.0000 0.5000

Summary:
Symmetry: P4/mmm (123)
Mass density (Mg/m³): 7.45
DOS at the Fermi energy (states/eV/cell): 8.72
Uncorrected energy (eV/atom): -5.6124

No. 12
VASP calculation (PBE-GGA) on GaCoRh2 after structural relaxation.

Cell: 8.9599 8.9599 8.9599 Å, 155.90 155.90 34.34°
Sites, in units of the cell vectors:
Ga1 0.0000 0.0000 0.0000
Ga2 0.7500 0.2500 0.5000
Co1 0.2500 0.7500 0.5000
Co2 0.5000 0.5000 0.0000
Rh1 0.1328 0.6250 0.0078
Rh2 0.3750 0.3828 0.5078
Rh3 0.6172 0.1250 0.9922
Rh4 0.8750 0.8672 0.4922

Summary:
Symmetry: I-42d (122)
Mass density (Mg/m³): 9.27
DOS at the Fermi energy (states/eV/cell): 12.23
Uncorrected energy (eV/atom): -5.9922

No. 13
VASP calculation (PBE-GGA) on Ga6Co2Rh after structural relaxation.

Cell: 4.6303 6.9963 8.2184 Å, 90.00 100.47 90.00°
Sites, in units of the cell vectors:
Ga1 0.0314 0.1931 0.4978
Ga2 0.0314 0.3069 0.9978
Ga3 0.1447 0.5230 0.7217
Ga4 0.1447 0.9770 0.2217
Ga5 0.4152 0.6448 0.3989
Ga6 0.4152 0.8552 0.8989
Ga7 0.5848 0.1448 0.1011
Ga8 0.5848 0.3552 0.6011
Ga9 0.8553 0.0230 0.7783
Ga10 0.8553 0.4770 0.2783
Ga11 0.9686 0.6931 0.0022
Ga12 0.9686 0.8069 0.5022
Co1 0.3332 0.1796 0.7920
Co2 0.3332 0.3204 0.2920
Co3 0.6668 0.6796 0.7080
Co4 0.6668 0.8204 0.2080
Rh1 0.5000 0.0000 0.5000
Rh2 0.5000 0.5000 0.0000

Summary:
Symmetry: P2_1/c (14)
Mass density (Mg/m³): 8.11
DOS at the Fermi energy (states/eV/cell): 9.18
Uncorrected energy (eV/atom): -4.6334

No. 14
VASP calculation (PBE-GGA) on Ga3Co2Rh after structural relaxation.

Cell: 2.9504 2.9504 8.7216 Å, 90.00 90.00 90.00°
Sites, in units of the cell vectors:
Ga1 0.0000 0.0000 0.0000
Ga2 0.0000 0.0000 0.3192
Ga3 0.0000 0.0000 0.6808
Co1 0.5000 0.5000 0.1608
Co2 0.5000 0.5000 0.8392
Rh1 0.5000 0.5000 0.5000

Summary:
Symmetry: P4/mmm (123)
Mass density (Mg/m³): 9.40
DOS at the Fermi energy (states/eV/cell): 2.89
Uncorrected energy (eV/atom): -5.5134

No. 15
VASP calculation (PBE-GGA) on Ga2CoRh2 after structural relaxation.

Cell: 7.0322 7.0322 2.8951 Å, 90.00 90.00 90.00°
Sites, in units of the cell vectors:
Ga1 0.1422 0.3578 0.0000
Ga2 0.3578 0.8578 0.0000
Ga3 0.6422 0.1422 0.0000
Ga4 0.8578 0.6422 0.0000
Co1 0.0000 0.0000 0.0000
Co2 0.5000 0.5000 0.0000
Rh1 0.1576 0.6576 0.5000
Rh2 0.3424 0.1576 0.5000
Rh3 0.6576 0.8424 0.5000
Rh4 0.8424 0.3424 0.5000

Summary:
Symmetry: P4/mbm (127)
Mass density (Mg/m³): 9.38
E above lowest polymorph (eV per atom): 0.000
DOS at the Fermi energy (states/eV/cell): 8.52
Uncorrected energy (eV/atom): -5.8535

No. 16
VASP calculation (PBE-GGA) on Ga6CoRh3 after structural relaxation.

Cell: 6.0977 6.5942 9.8586 Å, 90.00 127.70 90.00°
Sites, in units of the cell vectors:
Ga1 0.0203 0.0496 0.2427
Ga2 0.0203 0.4504 0.7427
Ga3 0.1972 0.6672 0.0646
Ga4 0.1972 0.8328 0.5646
Ga5 0.4059 0.1507 0.0544
Ga6 0.4059 0.3493 0.5544
Ga7 0.5941 0.6507 0.4456
Ga8 0.5941 0.8493 0.9456
Ga9 0.8028 0.1672 0.4354
Ga10 0.8028 0.3328 0.9354
Ga11 0.9797 0.5496 0.2573
Ga12 0.9797 0.9504 0.7573
Co1 0.0000 0.0000 0.0000
Co2 0.0000 0.5000 0.5000
Rh1 0.3082 0.1612 0.7440
Rh2 0.3082 0.3388 0.2440
Rh3 0.5000 0.0000 0.5000
Rh4 0.5000 0.5000 0.0000
Rh5 0.6918 0.6612 0.7560
Rh6 0.6918 0.8388 0.2560

Summary:
Symmetry: P2_1/c (14)
Mass density (Mg/m³): 8.32
DOS at the Fermi energy (states/eV/cell): 10.66
Uncorrected energy (eV/atom): -5.0620

No. 17
VASP calculation (PBE-GGA) on Ga6CoRh after structural relaxation.

Cell: 5.2730 5.2730 5.2869 Å, 104.24 104.24 104.35°
Sites, in units of the cell vectors:
Ga1 0.1741 0.7197 0.7195
Ga2 0.2799 0.2799 0.8244
Ga3 0.2803 0.8259 0.2805
Ga4 0.7197 0.1741 0.7195
Ga5 0.7201 0.7201 0.1756
Ga6 0.8259 0.2803 0.2805
Co1 0.0000 0.0000 0.0000
Rh1 0.5000 0.5000 0.5000

Summary:
Symmetry: C2/m (12)
Mass density (Mg/m³): 7.39
DOS at the Fermi energy (states/eV/cell): 4.77
Uncorrected energy (eV/atom): -4.2137

No. 18
VASP calculation (PBE-GGA) on Ga4CoRh3 after structural relaxation.

Cell: 3.0116 3.0116 11.9278 Å, 90.00 90.00 90.00°
Sites, in units of the cell vectors:
Ga1 0.0000 0.0000 0.1138
Ga2 0.0000 0.0000 0.3710
Ga3 0.0000 0.0000 0.6290
Ga4 0.0000 0.0000 0.8862
Co1 0.5000 0.5000 0.0000
Rh1 0.5000 0.5000 0.2439
Rh2 0.5000 0.5000 0.5000
Rh3 0.5000 0.5000 0.7561

Summary:
Symmetry: P4/mmm (123)
Mass density (Mg/m³): 9.92
DOS at the Fermi energy (states/eV/cell): 2.53
Uncorrected energy (eV/atom): -5.7380

No. 19
VASP calculation (PBE-GGA) on Ga6Co5Rh after structural relaxation.

Cell: 6.5292 6.5292 5.7961 Å, 90.00 90.00 143.15°
Sites, in units of the cell vectors:
Ga1 0.0000 0.0000 0.2401
Ga2 0.0000 0.0000 0.7599
Ga3 0.3298 0.6702 0.2456
Ga4 0.3298 0.6702 0.7544
Ga5 0.6702 0.3298 0.2456
Ga6 0.6702 0.3298 0.7544
Co1 0.1661 0.8339 0.0000
Co2 0.1670 0.8330 0.5000
Co3 0.5000 0.5000 0.0000
Co4 0.8330 0.1670 0.5000
Co5 0.8339 0.1661 0.0000
Rh1 0.5000 0.5000 0.5000

Summary:
Symmetry: Cmmm (65)
Mass density (Mg/m³): 9.14
DOS at the Fermi energy (states/eV/cell): 5.61
Uncorrected energy (eV/atom): -5.4217

No. 20
VASP calculation (PBE-GGA) on GaCoRh after structural relaxation.

Cell: 10.2517 10.2517 10.2517 Å, 163.98 163.98 22.73°
Sites, in units of the cell vectors:
Ga1 0.1398 0.1398 0.0000
Ga2 0.8602 0.8602 0.0000
Co1 0.2841 0.2841 0.0000
Co2 0.7159 0.7159 0.0000
Rh1 0.4373 0.4373 0.0000
Rh2 0.5627 0.5627 0.0000

Summary:
Symmetry: I4/mmm (139)
Mass density (Mg/m³): 9.37
DOS at the Fermi energy (states/eV/cell): 6.25
Uncorrected energy (eV/atom): -5.9273

No. 21
VASP calculation (PBE-GGA) on Ga2CoRh3 after structural relaxation.

Cell: 2.9803 2.9803 9.2176 Å, 90.00 90.00 90.00°
Sites, in units of the cell vectors:
Ga1 0.0000 0.0000 0.1702
Ga2 0.0000 0.0000 0.8298
Co1 0.0000 0.0000 0.5000
Rh1 0.5000 0.5000 0.0000
Rh2 0.5000 0.5000 0.3304
Rh3 0.5000 0.5000 0.6696

Summary:
Symmetry: P4/mmm (123)
Mass density (Mg/m³): 10.28
DOS at the Fermi energy (states/eV/cell): 4.53
Uncorrected energy (eV/atom): -6.2857

No. 22
VASP calculation (PBE-GGA) on GaCoRh2 after structural relaxation.

Cell: 2.9375 2.9375 6.2533 Å, 90.00 90.00 90.00°
Sites, in units of the cell vectors:
Ga1 0.0000 0.0000 0.0000
Co1 0.0000 0.0000 0.5000
Rh1 0.5000 0.5000 0.2458
Rh2 0.5000 0.5000 0.7542

Summary:
Symmetry: P4/mmm (123)
Mass density (Mg/m³): 10.29
DOS at the Fermi energy (states/eV/cell): 3.24
Uncorrected energy (eV/atom): -6.4887

No. 23
VASP calculation (PBE-GGA) on Ga3CoRh4 after structural relaxation.

Cell: 2.9988 4.2703 8.5698 Å, 90.00 90.00 90.00°
Sites, in units of the cell vectors:
Ga1 0.0000 0.0000 0.0000
Ga2 0.0000 0.5000 0.2581
Ga3 0.0000 0.5000 0.7419
Co1 0.0000 0.0000 0.5000
Rh1 0.5000 0.0000 0.2460
Rh2 0.5000 0.0000 0.7540
Rh3 0.5000 0.5000 0.0000
Rh4 0.5000 0.5000 0.5000

Summary:
Symmetry: Pmmm (47)
Mass density (Mg/m³): 10.28
DOS at the Fermi energy (states/eV/cell): 7.27
Uncorrected energy (eV/atom): -6.1944

No. 24
VASP calculation (PBE-GGA) on Ga3CoRh after structural relaxation.

Cell: 5.7079 7.4860 8.5520 Å, 90.00 129.24 90.00°
Sites, in units of the cell vectors:
Ga1 0.0024 0.1353 0.2995
Ga2 0.0024 0.3647 0.7995
Ga3 0.3566 0.0921 0.0544
Ga4 0.3566 0.4079 0.5544
Ga5 0.3757 0.6373 0.0541
Ga6 0.3757 0.8627 0.5541
Ga7 0.6243 0.1373 0.4459
Ga8 0.6243 0.3627 0.9459
Ga9 0.6434 0.5921 0.4456
Ga10 0.6434 0.9079 0.9456
Ga11 0.9976 0.6353 0.2005
Ga12 0.9976 0.8647 0.7005
Co1 0.1993 0.5892 0.7055
Co2 0.1993 0.9108 0.2055
Co3 0.8007 0.0892 0.7945
Co4 0.8007 0.4108 0.2945
Rh1 0.2086 0.1477 0.6846
Rh2 0.2086 0.3523 0.1846
Rh3 0.7914 0.6477 0.8154
Rh4 0.7914 0.8523 0.3154

Summary:
Symmetry: P2_1/c (14)
Mass density (Mg/m³): 8.71
E above lowest polymorph (eV per atom): 0.024
DOS at the Fermi energy (states/eV/cell): 4.16
Uncorrected energy (eV/atom): -5.0712

No. 25
VASP calculation (PBE-GGA) on Ga2Co2Rh after structural relaxation.

Cell: 6.8161 6.8161 2.7509 Å, 90.00 90.00 90.00°
Sites, in units of the cell vectors:
Ga1 0.1425 0.3575 0.0000
Ga2 0.3575 0.8575 0.0000
Ga3 0.6425 0.1425 0.0000
Ga4 0.8575 0.6425 0.0000
Co1 0.1562 0.6562 0.5000
Co2 0.3438 0.1562 0.5000
Co3 0.6562 0.8438 0.5000
Co4 0.8438 0.3438 0.5000
Rh1 0.0000 0.0000 0.0000
Rh2 0.5000 0.5000 0.0000

Summary:
Symmetry: P4/mbm (127)
Mass density (Mg/m³): 9.36
E above lowest polymorph (eV per atom): 0.000
DOS at the Fermi energy (states/eV/cell): 9.43
Uncorrected energy (eV/atom): -5.6723